# 1
Material: HoSiAu2
Method: DFT, PBE
State: relaxed

a = 4.685 Å, b = 4.685 Å, c = 4.564 Å
α = 114.26°, β = 114.26°, γ = 92.75°
Element x y z (fractional)
Ho 0.000 0.000 0.000
Si 0.407 0.407 0.891
Au 0.299 0.741 0.504
Au 0.741 0.299 0.504

Summary:
The calculation puts the energy at -18.53 eV for the cell shown. The calculation puts the formation energy without anion corrections at -0.49 eV per atom. As for the crystal system: monoclinic.



# 2
Material: AcTlBiSb
Method: DFT, PBE
State: relaxed

a = 5.686 Å, b = 5.686 Å, c = 5.686 Å
α = 60.00°, β = 60.00°, γ = 60.00°
Element x y z (fractional)
Ac 0.000 0.000 0.000
Tl 0.250 0.250 0.250
Bi 0.500 0.500 0.500
Sb 0.750 0.750 0.750

Summary:
The calculation puts the energy at -15.91 eV for the cell shown. The calculation puts the formation energy without anion corrections at -0.36 eV per atom. As for the crystal system: cubic.



# 3
Material: Ge2PtBr8
Method: DFT, PBE
State: relaxed

a = 8.193 Å, b = 8.193 Å, c = 7.906 Å
α = 98.54°, β = 98.54°, γ = 53.69°
Element x y z (fractional)
Ge 0.146 0.146 0.407
Ge 0.854 0.854 0.593
Pt 0.000 0.000 0.000
Br 0.082 0.082 0.738
Br 0.123 0.657 0.855
Br 0.315 0.315 0.442
Br 0.343 0.877 0.145
Br 0.657 0.123 0.855
Br 0.685 0.685 0.558
Br 0.877 0.343 0.145
Br 0.918 0.918 0.262

Summary:
The calculation puts the energy at -32.94 eV for the cell shown. The calculation puts the formation energy without anion corrections at -0.39 eV per atom. As for the crystal system: monoclinic.



# 4
Material: CeTh8Sc5
Method: DFT, PBE
State: relaxed

a = 8.229 Å, b = 8.229 Å, c = 8.229 Å
α = 113.00°, β = 113.00°, γ = 102.63°
Element x y z (fractional)
Ce 0.000 0.000 0.000
Th 0.082 0.681 0.757
Th 0.196 0.297 0.752
Th 0.319 0.076 0.401
Th 0.545 0.444 0.248
Th 0.556 0.804 0.102
Th 0.675 0.918 0.599
Th 0.703 0.455 0.898
Th 0.924 0.325 0.243
Sc 0.195 0.607 0.169
Sc 0.393 0.562 0.589
Sc 0.438 0.026 0.831
Sc 0.750 0.250 0.500
Sc 0.974 0.805 0.411

Summary:
The calculation puts the energy at -93.07 eV for the cell shown. As for the crystal system: tetragonal. As for the formation enthalpy at 0 K: 3.9 eV/f.u.



# 5
Material: LaYPdRu2
Method: DFT, PBE
State: relaxed

a = 5.030 Å, b = 5.030 Å, c = 4.870 Å
α = 90.00°, β = 90.00°, γ = 90.00°
Element x y z (fractional)
La 0.000 0.000 0.000
Y 0.500 0.500 0.000
Pd 0.500 0.500 0.500
Ru 0.000 0.500 0.500
Ru 0.500 0.000 0.500

Summary:
The calculation puts the energy at -32.02 eV for the cell shown. As for the crystal system: tetragonal. As for the formation enthalpy at 0 K: 3.1 eV/f.u.



# 6
Material: TbGa6Co4
Method: DFT, PBE
State: relaxed

a = 6.948 Å, b = 6.948 Å, c = 3.897 Å
α = 90.00°, β = 90.00°, γ = 120.00°
Element x y z (fractional)
Tb 0.000 0.000 0.000
Ga 0.196 0.391 0.500
Ga 0.196 0.804 0.500
Ga 0.533 0.066 0.000
Ga 0.533 0.467 0.000
Ga 0.609 0.804 0.500
Ga 0.934 0.467 0.000
Co 0.333 0.667 0.000
Co 0.424 0.212 0.500
Co 0.788 0.212 0.500
Co 0.788 0.576 0.500

Summary:
The calculation puts the energy at -54.49 eV for the cell shown. As for the crystal system: hexagonal. As for the formation enthalpy at 0 K: -3.3 eV/f.u.



# 7
Material: TaZnB
Method: DFT, PBE
State: relaxed

a = 8.494 Å, b = 8.494 Å, c = 3.025 Å
α = 90.00°, β = 90.00°, γ = 158.05°
Element x y z (fractional)
Ta 0.080 0.920 0.750
Ta 0.920 0.080 0.250
Zn 0.288 0.712 0.250
Zn 0.712 0.288 0.750
B 0.474 0.526 0.750
B 0.526 0.474 0.250

Summary:
The calculation puts the energy at -40.61 eV for the cell shown. As for the crystal system: orthorhombic. As for the formation enthalpy at 0 K: -0.5 eV/f.u.



# 8
Material: Er6Sb2TeSe3
Method: DFT, PBE
State: relaxed

a = 9.385 Å, b = 9.385 Å, c = 8.396 Å
α = 103.11°, β = 103.11°, γ = 25.77°
Element x y z (fractional)
Er 0.003 0.003 0.230
Er 0.325 0.325 0.422
Er 0.336 0.336 0.909
Er 0.664 0.664 0.091
Er 0.675 0.675 0.578
Er 0.997 0.997 0.770
Sb 0.166 0.166 0.832
Sb 0.834 0.834 0.168
Te 0.500 0.500 0.500
Se 0.165 0.165 0.334
Se 0.500 0.500 0.000
Se 0.835 0.835 0.666

Summary:
The calculation puts the energy at -66.34 eV for the cell shown. The calculation puts the formation energy without anion corrections at -1.43 eV per atom. As for the crystal system: monoclinic.



Please write out number 3 again, unchanged.
Material: Ge2PtBr8
Method: DFT, PBE
State: relaxed

a = 8.193 Å, b = 8.193 Å, c = 7.906 Å
α = 98.54°, β = 98.54°, γ = 53.69°
Element x y z (fractional)
Ge 0.146 0.146 0.407
Ge 0.854 0.854 0.593
Pt 0.000 0.000 0.000
Br 0.082 0.082 0.738
Br 0.123 0.657 0.855
Br 0.315 0.315 0.442
Br 0.343 0.877 0.145
Br 0.657 0.123 0.855
Br 0.685 0.685 0.558
Br 0.877 0.343 0.145
Br 0.918 0.918 0.262

Summary:
The calculation puts the energy at -32.94 eV for the cell shown. The calculation puts the formation energy without anion corrections at -0.39 eV per atom. As for the crystal system: monoclinic.



Look up the energy of the second one.
-15.91 eV for the cell shown



Number 5 is which compound?
LaYPdRu2